Entry 1:
This record from the Alexandria database describes a geometry-optimized LiAl2Cr2 structure. The functional is PBE-GGA.

Output
space-group type = I4/mmm
calculated density = 3.66 g cm⁻³
ΔE_f = 258 meV per atom
E above lowest polymorph = 0.91 eV/f.u.
energy = -27.355 eV for the cell shown

Cell: 3.3663 3.3663 7.0233 Å, 76.13 76.13 90.00°
Atoms (fractional coordinates):
Cr  0.7500  0.2500  0.5000
Cr  0.2500  0.7500  0.5000
Al  0.3985  0.3985  0.2031
Al  0.6015  0.6015  0.7969
Li  0.0000  0.0000  0.0000

Entry 2:
This record from the Alexandria database describes a geometry-optimized Sc2PBr structure. The functional is PBE-GGA.

Output
space-group type = P2/m
calculated density = 3.87 g cm⁻³
energy = -23.726 eV for the cell shown

Cell: 3.4095 3.4595 7.3112 Å, 90.07 90.00 90.00°
Last column: magnetic moment on the atom in μB.
Atoms (fractional coordinates):
Sc  0.0000  0.5021  0.6909  0.61
Sc  0.0000  0.4979  0.3091  0.61
P  0.5000  0.0000  0.5000  -0.05
Br  0.5000  0.5000  0.0000  0.01

Entry 3:
This record from the Alexandria database describes a geometry-optimized Be2AlPd2 structure. The functional is PBE-GGA.

Output
space-group type = P4/mbm
calculated density = 6.72 g cm⁻³
ΔE_f = -449 meV per atom
E above lowest polymorph = 0.59 eV/f.u.
energy = -47.650 eV for the cell shown

Cell: 6.6786 6.6786 2.8584 Å, 90.00 90.00 90.00°
Atoms (fractional coordinates):
Be  0.1363  0.6363  0.5000
Be  0.6363  0.8637  0.5000
Be  0.8637  0.3637  0.5000
Be  0.3637  0.1363  0.5000
Al  0.0000  0.0000  0.0000
Al  0.5000  0.5000  0.0000
Pd  0.3438  0.8438  0.0000
Pd  0.8438  0.6562  0.0000
Pd  0.6562  0.1562  0.0000
Pd  0.1562  0.3438  0.0000

Entry 4:
This record from the Alexandria database describes a geometry-optimized GaBrCl3 structure. The functional is PBE-GGA.

Output
space-group type = Pmn2_1
calculated density = 3.07 g cm⁻³
E above lowest polymorph = 1.34 eV/f.u.
energy = -26.408 eV for the cell shown

Cell: 5.9824 7.4356 6.2169 Å, 89.97 90.00 90.00°
Last column: magnetic moment on the atom in μB.
Atoms (fractional coordinates):
Ga  0.1688  0.6811  0.7008  0.00
Ga  0.6688  0.6718  0.2009  0.00
Br  0.4018  0.3935  0.7009  0.12
Br  0.9018  0.9593  0.2005  0.12
Cl  0.4567  0.4058  0.2009  0.09
Cl  0.4254  0.8211  0.9501  0.00
Cl  0.9254  0.5317  0.4502  0.00
Cl  0.9567  0.9469  0.7006  0.09
Cl  0.9254  0.5316  0.9515  0.00
Cl  0.4254  0.8212  0.4513  0.00

Entry 5:
This record from the Alexandria database describes a geometry-optimized Sm3Ho2Zn2 structure. The functional is PBE-GGA.

Output
space-group type = C2/m
calculated density = 7.65 g cm⁻³
ΔE_f = -135 meV per atom
E above lowest polymorph = 0.00 eV/f.u.
energy = -26.807 eV for the cell shown

Cell: 3.7240 6.7254 9.1264 Å, 114.56 90.00 106.07°
Atoms (fractional coordinates):
Sm  0.5000  0.0000  0.0000
Sm  0.6087  0.2175  0.4387
Sm  0.3913  0.7825  0.5613
Ho  0.8490  0.6981  0.1854
Ho  0.1510  0.3019  0.8146
Zn  0.8187  0.6374  0.7772
Zn  0.1813  0.3626  0.2228

Entry 6:
This record from the Alexandria database describes a geometry-optimized Mg2In3 structure. The functional is PBE-GGA.

Output
space-group type = P-3m1
calculated density = 5.03 g cm⁻³
ΔE_f = -10 meV per atom
E above lowest polymorph = 0.31 eV/f.u.
energy = -11.452 eV for the cell shown

Cell: 4.8999 4.8999 6.2394 Å, 90.00 90.00 120.00°
Atoms (fractional coordinates):
In  0.0000  0.0000  0.0000
In  0.6667  0.3333  0.6333
In  0.3333  0.6667  0.3667
Mg  0.6667  0.3333  0.1474
Mg  0.3333  0.6667  0.8526